The following is a GGA-PBE calculation of crystalline CoOs2Au at its relaxed geometry, from Alexandria via LeMat-Bulk.

a b c (Å): 2.6995 2.6995 7.8277
angles (deg): 90.00 90.00 90.00
With the nearest neighbours (Å) after each atom.
Atoms (fractional coordinates):
Au: 0.5000 0.5000 0.2500  4 Au 2.70, 8 Os 2.90
Co: 0.5000 0.5000 0.7500  8 Os 2.57, 4 Co 2.70
Os: 0.0000 0.0000 0.9705  4 Co 2.57, 4 Os 2.70
Os: 0.0000 0.0000 0.5295  4 Co 2.57, 4 Os 2.70

Properties
Formation energy from the elements ... 511 meV per atom
DFT total energy ... -7.699 eV per atom
Calculated volume ... 14.26 A^3/atom
Energy above the most stable polymorph in this dataset ... 0.201 eV per atom

=====

The following is a GGA-PBE calculation of crystalline CoPOsAu2 at its relaxed geometry, from Alexandria via LeMat-Bulk.

a b c (Å): 5.0442 4.3890 5.0442
angles (deg): 90.00 90.00 90.00
With the nearest neighbours (Å) after each atom.
Atoms (fractional coordinates):
Os: 0.0000 0.0000 0.0000  2 Co 2.19
Au: 0.0000 0.0000 0.5000  2 Os 2.52
Au: 0.5000 0.0000 0.0000  2 Os 2.52
P: 0.5000 0.5000 0.5000  8 Au 3.34, 4 Co 3.57
Co: 0.0000 0.5000 0.0000  2 Os 2.19

Properties
Formation energy from the elements ... 1703 meV per atom
DFT total energy ... -4.357 eV per atom
Calculated volume ... 22.34 A^3/atom

=====

The following is a GGA-PBE calculation of crystalline Co2SiOsAu at its relaxed geometry, from Alexandria via LeMat-Bulk.

a b c (Å): 4.5821 4.9723 4.5821
angles (deg): 90.00 90.00 90.00
With the nearest neighbours (Å) after each atom.
Atoms (fractional coordinates):
Os: 0.0000 0.5000 0.0000  2 Au 2.49
Si: 0.5000 0.5000 0.5000  4 Os 3.24, 8 Co 3.38
Au: 0.0000 0.0000 0.0000  4 Co 2.29, 2 Os 2.49
Co: 0.0000 0.0000 0.5000  2 Au 2.29
Co: 0.5000 0.0000 0.0000  2 Au 2.29

Properties
Uncorrected formation energy ... 47.4 kcal/mol of atoms
DFT total energy ... -4.775 eV per atom
Calculated volume ... 20.88 A^3/atom

=====

Values for Fermi-level density of states, states/eV/cell, ordered as above
5.12 8.60 7.92